[1]
Computed, not measured: crystalline LiScAg2 at its relaxed geometry at the PBE level of DFT.

Computed properties:
* ΔE_f: -16.9 kJ per mole of atoms

Cell: 4.117 4.132 8.503 Å, 90.00 90.00 90.00°
Element x y z (fractional)
Li 0.000 0.000 0.000
Li 0.500 0.500 0.500
Sc 0.000 0.500 0.250
Sc 0.500 0.000 0.750
Ag 0.000 0.000 0.500
Ag 0.000 0.500 0.749
Ag 0.500 0.000 0.249
Ag 0.500 0.500 0.000


[2]
Computed, not measured: crystalline Tb6Pr2Dy3 at its relaxed geometry at the PBE level of DFT.

Computed properties:
* ΔE_f: 17.1 kJ per mole of atoms
* energy above the most stable polymorph in this dataset: 0 meV per atom

Cell: 6.146 6.146 11.772 Å, 95.06 95.06 120.07°
Element x y z (fractional)
Tb 0.084 0.418 0.754
Tb 0.249 0.249 0.246
Tb 0.418 0.084 0.754
Tb 0.582 0.916 0.246
Tb 0.751 0.751 0.754
Tb 0.916 0.582 0.246
Pr 0.333 0.667 0.500
Pr 0.667 0.333 0.500
Dy 0.165 0.835 0.000
Dy 0.500 0.500 0.000
Dy 0.835 0.165 0.000


[3]
Computed, not measured: crystalline Li2AcTbSb2 at its relaxed geometry at the PBE level of DFT.

Computed properties:
* ΔE_f (raw): -0.8538 eV/atom

Cell: 4.755 4.755 7.801 Å, 90.00 90.00 120.00°
Element x y z (fractional)
Li 0.333 0.667 0.206
Li 0.667 0.333 0.794
Ac 0.000 0.000 0.500
Tb 0.000 0.000 0.000
Sb 0.333 0.667 0.775
Sb 0.667 0.333 0.225


[4]
Computed, not measured: crystalline ErCdPt6 at its relaxed geometry at the PBE level of DFT.

Computed properties:
* ΔE_f: -60.7 kJ per mole of atoms

Cell: 4.074 4.074 8.137 Å, 90.00 90.00 90.00°
Element x y z (fractional)
Er 0.000 0.000 0.000
Cd 0.000 0.000 0.500
Pt 0.000 0.500 0.253
Pt 0.000 0.500 0.747
Pt 0.500 0.000 0.253
Pt 0.500 0.000 0.747
Pt 0.500 0.500 0.000
Pt 0.500 0.500 0.500


[5]
Computed, not measured: crystalline La2Pr4Dy2Er at its relaxed geometry at the PBE level of DFT.

Computed properties:
* ΔE_f: 1.0 kJ per mole of atoms

Cell: 9.742 9.742 9.808 Å, 115.13 115.13 21.92°
Element x y z (fractional)
La 0.165 0.165 0.498
La 0.835 0.835 0.502
Pr 0.018 0.018 0.834
Pr 0.314 0.314 0.167
Pr 0.686 0.686 0.833
Pr 0.982 0.982 0.166
Dy 0.352 0.352 0.833
Dy 0.648 0.648 0.167
Er 0.500 0.500 0.500


[6]
Computed, not measured: crystalline Li2Th3Si4 at its relaxed geometry at the PBE level of DFT.

Computed properties:
* ΔE_f (raw): -0.5836 eV/atom

Cell: 5.842 5.842 8.321 Å, 101.58 101.58 42.23°
Element x y z (fractional)
Li 0.115 0.115 0.281
Li 0.885 0.885 0.719
Th 0.161 0.161 0.673
Th 0.500 0.500 0.000
Th 0.839 0.839 0.327
Si 0.219 0.219 0.054
Si 0.439 0.439 0.607
Si 0.561 0.561 0.393
Si 0.781 0.781 0.946


| no. | total energy (eV per atom) |
| --- | --- |
| 1 | -3.66 |
| 2 | -4.47 |
| 3 | -4.32 |
| 4 | -5.84 |
| 5 | -4.74 |
| 6 | -5.89 |